Below is a geometry-optimized Th3Cd2In3Ru structure, with properties calculated at the PBE level.

Output
- Energy of formation from the pure elements: -0.25 eV/atom
- Space group: P-62m (189)
- E: -43.84 eV for the cell shown

Cell lengths 8.620, 8.620, 3.745 Å; angles 90.00, 90.00, 120.00 degrees
Atoms (fractional coordinates):
Th (0.000, 0.747, 0.000)
Th (0.253, 0.253, 0.000)
Th (0.747, 0.000, 0.000)
Cd (0.333, 0.667, 0.000)
Cd (0.667, 0.333, 0.000)
In (0.000, 0.396, 0.500)
In (0.396, 0.000, 0.500)
In (0.604, 0.604, 0.500)
Ru (0.000, 0.000, 0.500)

Below is a geometry-optimized Tm3CdIn3Ru2 structure, with properties calculated at the PBE level.

Output
- Energy of formation from the pure elements: -0.34 eV/atom
- Space group: P-62m (189)
- E: -44.12 eV for the cell shown

Cell lengths 7.836, 7.836, 3.706 Å; angles 90.00, 90.00, 120.00 degrees
Atoms (fractional coordinates):
Tm (0.000, 0.402, 0.000)
Tm (0.402, 0.000, 0.000)
Tm (0.598, 0.598, 0.000)
Cd (0.000, 0.000, 0.000)
In (0.000, 0.715, 0.500)
In (0.285, 0.285, 0.500)
In (0.715, 0.000, 0.500)
Ru (0.333, 0.667, 0.500)
Ru (0.667, 0.333, 0.500)

Below is a geometry-optimized Cd2In2S structure, with properties calculated at the PBE level.

Output
- Space group: P4/mbm (127)
- E: -22.65 eV for the cell shown
- Formation energy (no corrections): 0.02 eV/atom
- ΔE to the lowest computed polymorph: 0 meV per atom

Cell lengths 7.316, 7.316, 4.748 Å; angles 90.00, 90.00, 90.00 degrees
Atoms (fractional coordinates):
Cd (0.141, 0.359, 0.000)
Cd (0.359, 0.859, 0.000)
Cd (0.641, 0.141, 0.000)
Cd (0.859, 0.641, 0.000)
In (0.166, 0.666, 0.500)
In (0.334, 0.166, 0.500)
In (0.666, 0.834, 0.500)
In (0.834, 0.334, 0.500)
S (0.000, 0.000, 0.000)
S (0.500, 0.500, 0.000)

Below is a geometry-optimized Cd3InS4 structure, with properties calculated at the PBE level.

Output
- Space group: I-42m (121)
- E: -26.22 eV for the cell shown
- Formation energy (no corrections): -0.53 eV/atom

Cell lengths 7.359, 7.359, 7.359 Å; angles 131.73, 131.73, 70.65 degrees
Atoms (fractional coordinates):
Cd (0.000, 0.000, 0.000)
Cd (0.250, 0.750, 0.500)
Cd (0.750, 0.250, 0.500)
In (0.500, 0.500, 0.000)
S (0.118, 0.118, 0.490)
S (0.372, 0.882, 0.000)
S (0.628, 0.628, 0.510)
S (0.882, 0.372, 0.000)

Below is a geometry-optimized Cd3InS structure, with properties calculated at the PBE level.

Output
- Space group: Pm-3m (221)
- E: -7.16 eV for the cell shown
- Formation energy (no corrections): 0.49 eV/atom
- ΔE to the lowest computed polymorph: 226 meV per atom

Cell lengths 5.411, 5.411, 5.411 Å; angles 90.00, 90.00, 90.00 degrees
Atoms (fractional coordinates):
Cd (0.000, 0.000, 0.500)
Cd (0.000, 0.500, 0.000)
Cd (0.500, 0.000, 0.000)
In (0.000, 0.000, 0.000)
S (0.500, 0.500, 0.500)

Below is a geometry-optimized Cd2InS structure, with properties calculated at the PBE level.

Output
- Space group: Fm-3m (225)
- E: -8.09 eV for the cell shown
- Formation energy (no corrections): 0.15 eV/atom
- ΔE to the lowest computed polymorph: 228 meV per atom

Cell lengths 5.134, 5.134, 5.134 Å; angles 60.00, 60.00, 60.00 degrees
Atoms (fractional coordinates):
Cd (0.250, 0.250, 0.250)
Cd (0.750, 0.750, 0.750)
In (0.000, 0.000, 0.000)
S (0.500, 0.500, 0.500)

Below is a geometry-optimized CdIn3S4 structure, with properties calculated at the PBE level.

Output
- Space group: Pmn2_1 (31)
- E: -57.68 eV for the cell shown
- Formation energy (no corrections): -0.40 eV/atom

Cell lengths 9.431, 7.286, 6.850 Å; angles 90.00, 90.00, 90.00 degrees
Atoms (fractional coordinates):
Cd (0.000, 0.184, 0.000)
Cd (0.500, 0.816, 0.500)
In (0.000, 0.811, 0.521)
In (0.249, 0.678, 0.014)
In (0.251, 0.322, 0.514)
In (0.500, 0.189, 0.021)
In (0.749, 0.322, 0.514)
In (0.751, 0.678, 0.014)
S (0.000, 0.221, 0.625)
S (0.000, 0.832, 0.057)
S (0.215, 0.352, 0.144)
S (0.285, 0.648, 0.644)
S (0.500, 0.168, 0.557)
S (0.500, 0.779, 0.125)
S (0.715, 0.648, 0.644)
S (0.785, 0.352, 0.144)

Below is a geometry-optimized CdIn6S8 structure, with properties calculated at the PBE level.

Output
- Space group: R-3 (148)
- E: -55.88 eV for the cell shown
- Formation energy (no corrections): -0.37 eV/atom

Cell lengths 7.340, 7.340, 7.340 Å; angles 98.00, 98.00, 98.00 degrees
Atoms (fractional coordinates):
Cd (0.000, 0.000, 0.000)
In (0.204, 0.206, 0.602)
In (0.206, 0.602, 0.204)
In (0.398, 0.796, 0.794)
In (0.602, 0.204, 0.206)
In (0.794, 0.398, 0.796)
In (0.796, 0.794, 0.398)
S (0.163, 0.502, 0.835)
S (0.165, 0.837, 0.498)
S (0.323, 0.323, 0.323)
S (0.498, 0.165, 0.837)
S (0.502, 0.835, 0.163)
S (0.677, 0.677, 0.677)
S (0.835, 0.163, 0.502)
S (0.837, 0.498, 0.165)